Entry 1:
LiTlW4 after structural relaxation, computed with GGA-PBE.

Lattice parameters (Å, degrees): 5.385 5.385 5.385 60.00 60.00 60.00
Sites, in units of the cell vectors:
W 0.871 0.376 0.376
W 0.376 0.376 0.376
W 0.376 0.376 0.871
W 0.376 0.871 0.376
Tl 0.000 0.000 0.000
Li 0.750 0.750 0.750

Calculated values
Fermi-level density of states in states/eV per atom: 1.28
ΔE_f in kJ/mol of atoms: 78

Entry 2:
Li2TlW after structural relaxation, computed with GGA-PBE.

Lattice parameters (Å, degrees): 2.859 2.859 9.172 90.00 90.00 100.65
Sites, in units of the cell vectors:
Li 0.500 0.500 0.256
Li 0.000 0.000 0.990
Tl 0.000 0.000 0.496
W 0.500 0.500 0.758

Calculated values
Fermi-level density of states in states/eV per atom: 0.81
ΔE_f in kJ/mol of atoms: 46
E above lowest polymorph in meV per atom: 62.8

Entry 3:
LiTlW3 after structural relaxation, computed with GGA-PBE.

Lattice parameters (Å, degrees): 5.024 5.024 5.024 90.00 90.00 90.00
Sites, in units of the cell vectors:
W 0.500 0.000 0.000
W 0.000 0.000 0.500
W 0.000 0.500 0.000
Li 0.500 0.500 0.500
Tl 0.000 0.000 0.000

Calculated values
Fermi-level density of states in states/eV per atom: 2.07
ΔE_f in kJ/mol of atoms: 306
E above lowest polymorph in meV per atom: 1548.4

Entry 4:
LiYTl2W after structural relaxation, computed with GGA-PBE.

Lattice parameters (Å, degrees): 5.565 4.839 5.565 90.00 90.00 90.00
Sites, in units of the cell vectors:
Li 0.000 0.500 0.000
Y 0.000 0.000 0.000
Tl 0.500 0.000 0.000
Tl 0.000 0.000 0.500
W 0.500 0.500 0.500

Calculated values
Fermi-level density of states in states/eV per atom: 0.97
ΔE_f in kJ/mol of atoms: 196

Entry 5:
LiZrTl2W after structural relaxation, computed with GGA-PBE.

Lattice parameters (Å, degrees): 5.482 4.958 5.482 90.00 90.00 90.00
Sites, in units of the cell vectors:
Zr 0.000 0.500 0.000
W 0.000 0.000 0.000
Tl 0.500 0.000 0.000
Tl 0.000 0.000 0.500
Li 0.500 0.500 0.500

Calculated values
Fermi-level density of states in states/eV per atom: 0.73
ΔE_f in kJ/mol of atoms: 70

Entry 6:
LiY2Tl after structural relaxation, computed with GGA-PBE.

Lattice parameters (Å, degrees): 6.318 6.318 5.173 65.83 65.83 34.27
Sites, in units of the cell vectors:
Li 0.529 0.529 0.471
Y 0.990 0.990 0.010
Y 0.761 0.761 0.739
Tl 0.220 0.220 0.280

Calculated values
Fermi-level density of states in states/eV per atom: 1.06
ΔE_f in kJ/mol of atoms: -15
E above lowest polymorph in meV per atom: 80.2